Entry 1:
# Rb2MnGe

A relaxed structure of Rb2MnGe (GGA-PBE, the Alexandria database).

a b c (Å): 4.463 8.558 10.596
angles (deg): 69.13 89.90 75.10
Space group P-1 (No. 2)
Asymmetric unit:
Rb 0.043 0.414 0.192
Rb 0.328 0.849 0.326
Mn 0.197 0.106 0.978
Ge 0.346 0.806 0.979



Entry 2:
# HoEr4Os2

A relaxed structure of HoEr4Os2 (GGA-PBE, the Alexandria database).

a b c (Å): 7.745 6.216 7.870
angles (deg): 90.00 112.18 90.00
Space group P2_1/m (No. 11)
Asymmetric unit:
Ho 0.027 0.250 0.160
Er 0.239 0.501 0.581
Er 0.327 0.750 0.251
Er 0.380 0.250 0.020
Os 0.026 0.250 0.745
Os 0.414 0.250 0.376



| no. | magnetization (μB per cell) | DFT formation energy (kcal/mol of atoms) |
| --- | --- | --- |
| 1 | 6.7 | 2.6 |
| 2 | 0.0 | -4.9 |